VASP calculation (PBE) on an optimized crystal structure of Ta3VRu2.

Values from the calculation:
ΔH_f (0 K)   -180.7 kJ/mol of formula units
Energy above the most stable polymorph in this dataset   30 meV per atom
Space-group type   P4/mmm

Cell: 3.161 3.161 9.554 Å, 90.00 90.00 90.00°
Sites, in units of the cell vectors:
Ta 0.000 0.000 0.000
Ta 0.000 0.000 0.340
Ta 0.000 0.000 0.660
V 0.500 0.500 0.500
Ru 0.500 0.500 0.163
Ru 0.500 0.500 0.837